# 1
Ca4Ag3Hg | GGA-PBE | optimized geometry

Unit cell a=4.0567 b=4.7569 c=11.4585 alpha=90.00 beta=90.00 gamma=90.00
Space group Pmm2 (No. 25)
Asymmetric unit:
Ca1 0.0000 0.0000 0.0000 x1
Ca2 0.0000 0.5000 0.2795 x1
Ca3 0.5000 0.0000 0.4942 x1
Ca4 0.5000 0.5000 0.7833 x1
Ag1 0.0000 0.5000 0.5598 x1
Ag2 0.5000 0.0000 0.2144 x1
Ag3 0.5000 0.5000 0.0644 x1
Hg1 0.0000 0.0000 0.7184 x1

Output
Crystal system   orthorhombic
Excess energy over the best structure of this formula in the dataset   0.03 eV per formula unit



# 2
CaAg2Hg2 | GGA-PBE | optimized geometry

Unit cell a=7.9035 b=7.9035 c=3.6903 alpha=90.00 beta=90.00 gamma=90.00
Space group P4/mbm (No. 127)
Asymmetric unit:
Ca1 0.0000 0.0000 0.0000 x2
Ag1 0.1251 0.3749 0.0000 x4
Hg1 0.1736 0.6736 0.5000 x4

Output
Crystal system   tetragonal
Excess energy over the best structure of this formula in the dataset   0.51 eV per formula unit



# 3
Ca2AgHg | GGA-PBE | optimized geometry

Unit cell a=8.1989 b=8.1989 c=7.2455 alpha=90.00 beta=90.00 gamma=90.00
Space group I-42d (No. 122)
Asymmetric unit:
Ca1 0.2407 0.2500 0.1250 x8
Ag1 0.0000 0.0000 0.0000 x4
Hg1 0.0000 0.0000 0.5000 x4

Output
Crystal system   tetragonal



Number 1: E_form -0.37 eV/atom, mass density 5.14 g/cm3. Number 2: E_form -0.14 eV/atom, mass density 9.47 g/cm3. Number 3: E_form -0.16 eV/atom, mass density 5.30 g/cm3.